1.
A plane-wave DFT calculation with GGA+U was carried out for a geometry-optimized Pm2CoBiO6 structure.

a b c (Å): 5.6304 5.9195 9.9075
angles (deg): 90.00 122.35 90.00
Element x y z (fractional)
Pm 0.2168 0.0653 0.2455
Pm 0.2168 0.4347 0.7455
Pm 0.7832 0.5653 0.2545
Pm 0.7832 0.9347 0.7545
Co 0.0000 0.0000 0.5000
Co 0.0000 0.5000 0.0000
Bi 0.5000 0.0000 0.0000
Bi 0.5000 0.5000 0.5000
O 0.1154 0.2081 0.9314
O 0.1154 0.2919 0.4314
O 0.2170 0.6921 0.9261
O 0.2170 0.8079 0.4261
O 0.3790 0.0587 0.7430
O 0.3790 0.4413 0.2430
O 0.6210 0.5587 0.7570
O 0.6210 0.9413 0.2570
O 0.7830 0.1921 0.5739
O 0.7830 0.3079 0.0739
O 0.8846 0.7081 0.5686
O 0.8846 0.7919 0.0686

Values from the calculation:
Size of the total moment = 4.47 μB per cell
E_tot = -7.00 eV/atom
Volume = 278.96 Å³ per cell

2.
A plane-wave DFT calculation with GGA+U was carried out for a geometry-optimized SrNpFeO6 structure.

a b c (Å): 5.2782 5.2782 5.4743
angles (deg): 90.02 90.02 120.05
Element x y z (fractional)
Sr 0.0000 0.0000 0.0000
Np 0.6663 0.3337 0.5000
Fe 0.3326 0.6674 0.5000
O 0.0082 0.3727 0.6996
O 0.0086 0.6344 0.2990
O 0.3656 0.9914 0.7010
O 0.3702 0.3768 0.2966
O 0.6232 0.6298 0.7034
O 0.6273 0.9918 0.3004

Values from the calculation:
Size of the total moment = 1.00 μB per cell
E_tot = -7.78 eV/atom
Volume = 132.00 Å³ per cell